[1]
Ba2Pb2F7, relaxed, DFT PBE-GGA; energy relative to the elements, uncorrected = -2.855 eV/atom; symmetry = Cmmm, No. 65
1.0
-3.486 4.231 3.170
0.040 -3.564 4.802
5.343 2.750 1.996
F Ba Pb
7 2 2
direct
0.500 0.248 0.500 F
0.500 0.247 0.000 F
0.500 0.753 0.000 F
0.000 0.000 0.000 F
0.000 0.753 0.500 F
0.000 0.247 0.500 F
0.500 0.752 0.500 F
0.260 0.500 0.260 Ba
0.740 0.500 0.740 Ba
0.737 0.000 0.263 Pb
0.263 0.000 0.737 Pb

[2]
Ba6Pb3F, relaxed, DFT PBE-GGA; energy relative to the elements, uncorrected = -0.923 eV/atom; symmetry = Cmc2_1, No. 36
1.0
8.255 0.000 0.000
0.000 10.972 -0.429
0.000 -2.867 10.599
Ba F Pb
12 2 6
direct
0.691 0.892 0.427 Ba
0.198 0.764 0.236 Ba
0.191 0.108 0.573 Ba
0.608 0.947 0.053 Ba
0.191 0.427 0.892 Ba
0.108 0.053 0.947 Ba
0.691 0.573 0.108 Ba
0.704 0.315 0.346 Ba
0.204 0.685 0.654 Ba
0.698 0.236 0.764 Ba
0.704 0.654 0.685 Ba
0.204 0.346 0.315 Ba
0.524 0.793 0.207 F
0.024 0.207 0.793 F
0.923 0.609 0.391 Pb
0.472 0.264 0.046 Pb
0.972 0.736 0.954 Pb
0.972 0.046 0.264 Pb
0.472 0.954 0.736 Pb
0.423 0.391 0.609 Pb

[3]
BaPb2F8, relaxed, DFT PBE-GGA; energy relative to the elements, uncorrected = -2.473 eV/atom; symmetry = P-1, No. 2
1.0
4.533 -0.008 -0.003
-0.010 6.707 -3.883
-0.004 0.004 7.778
F Pb Ba
8 2 1
direct
0.272 0.171 0.344 F
0.781 0.333 0.667 F
0.727 0.827 0.170 F
0.725 0.343 0.172 F
0.273 0.173 0.830 F
0.275 0.657 0.828 F
0.728 0.829 0.656 F
0.219 0.667 0.333 F
0.282 0.333 0.667 Pb
0.718 0.667 0.333 Pb
0.000 0.000 0.000 Ba

[4]
Ba4Pb2F, relaxed, DFT PBE-GGA; energy relative to the elements, uncorrected = -1.175 eV/atom; symmetry = P2_1/m, No. 11; distance to the lowest polymorph of the same formula = 0.095 eV per formula unit
1.0
-1.769 4.545 5.565
-1.463 -6.343 4.715
10.323 -2.304 0.103
Pb Ba F
4 8 2
direct
0.677 0.750 0.033 Pb
0.323 0.250 0.967 Pb
0.216 0.250 0.420 Pb
0.784 0.750 0.580 Pb
0.068 0.750 0.361 Ba
0.521 0.500 0.269 Ba
0.932 0.250 0.639 Ba
0.479 0.000 0.731 Ba
0.892 0.250 0.066 Ba
0.108 0.750 0.934 Ba
0.479 0.500 0.731 Ba
0.521 0.000 0.269 Ba
0.723 0.250 0.796 F
0.277 0.750 0.204 F

[5]
Rb2BaPbF, relaxed, DFT PBE-GGA; energy relative to the elements, uncorrected = -1.180 eV/atom; symmetry = P4/mmm, No. 123
1.0
5.605 0.000 0.000
0.000 5.605 0.000
0.000 0.000 5.851
Pb F Rb Ba
1 1 2 1
direct
0.500 0.500 0.500 Pb
0.000 0.000 0.000 F
0.000 0.500 0.000 Rb
0.500 0.000 0.000 Rb
0.000 0.000 0.500 Ba

[6]
BaPbSF2, relaxed, DFT PBE-GGA; energy relative to the elements, uncorrected = -2.294 eV/atom; symmetry = I4cm, No. 108
1.0
6.527 0.000 0.000
0.000 6.527 0.000
-3.264 -3.264 5.988
Ba F Pb S
2 4 2 2
direct
0.295 0.795 0.591 Ba
0.795 0.295 0.591 Ba
0.138 0.309 0.947 F
0.638 0.138 0.947 F
0.809 0.638 0.947 F
0.309 0.809 0.947 F
0.511 0.511 0.023 Pb
0.011 0.011 0.023 Pb
0.247 0.247 0.494 S
0.747 0.747 0.494 S

[7]
BaSbPbF, relaxed, DFT PBE-GGA; energy relative to the elements, uncorrected = -1.644 eV/atom; symmetry = P4/nmm, No. 129
1.0
4.930 0.000 0.000
0.000 4.930 0.000
0.000 0.000 10.145
Pb Sb F Ba
2 2 2 2
direct
0.000 0.000 0.500 Pb
0.500 0.500 0.500 Pb
0.000 0.500 0.292 Sb
0.500 0.000 0.708 Sb
0.500 0.500 0.000 F
0.000 0.000 0.000 F
0.000 0.500 0.879 Ba
0.500 0.000 0.121 Ba

[8]
BaPbSeF2, relaxed, DFT PBE-GGA; energy relative to the elements, uncorrected = -2.291 eV/atom; symmetry = I4cm, No. 108
1.0
-3.758 -1.268 -5.282
4.923 -3.508 -2.661
-2.766 -2.797 6.769
Se Ba Pb F
2 2 2 4
direct
0.744 0.744 0.487 Se
0.244 0.244 0.487 Se
0.307 0.807 0.614 Ba
0.807 0.307 0.614 Ba
0.511 0.511 0.023 Pb
0.011 0.011 0.023 Pb
0.293 0.793 0.938 F
0.793 0.645 0.938 F
0.645 0.145 0.938 F
0.145 0.293 0.938 F

[9]
BaSnPbF2, relaxed, DFT PBE-GGA; energy relative to the elements, uncorrected = -1.677 eV/atom; symmetry = P4/mmm, No. 123
1.0
-3.408 2.946 1.684
-6.089 -5.611 -2.504
0.239 -2.172 4.284
Sn F Pb Ba
1 2 1 1
direct
0.500 0.500 0.500 Sn
0.500 0.000 0.000 F
0.000 0.000 0.500 F
0.000 0.500 0.000 Pb
0.000 0.000 0.000 Ba

[10]
BaSr2PbF, relaxed, DFT PBE-GGA; energy relative to the elements, uncorrected = -1.286 eV/atom; symmetry = P4/mmm, No. 123
1.0
5.395 0.000 0.000
0.000 5.395 0.000
0.000 0.000 5.619
Sr Ba F Pb
2 1 1 1
direct
0.000 0.500 0.000 Sr
0.500 0.000 0.000 Sr
0.000 0.000 0.500 Ba
0.000 0.000 0.000 F
0.500 0.500 0.500 Pb

[11]
Ba2SrPbF, relaxed, DFT PBE-GGA; energy relative to the elements, uncorrected = -1.307 eV/atom; symmetry = P4/mmm, No. 123
1.0
5.655 0.000 0.000
0.000 5.655 0.000
0.000 0.000 5.331
Pb Ba F Sr
1 2 1 1
direct
0.500 0.500 0.500 Pb
0.000 0.500 0.000 Ba
0.500 0.000 0.000 Ba
0.000 0.000 0.000 F
0.000 0.000 0.500 Sr

[12]
Ba2TiPbF, relaxed, DFT PBE-GGA; energy relative to the elements, uncorrected = 0.120 eV/atom; symmetry = P4/mmm, No. 123
1.0
-5.116 1.525 -4.331
-3.135 -0.986 3.355
0.180 6.545 2.092
Pb F Ti Ba
1 1 1 2
direct
0.000 0.000 0.000 Pb
0.000 0.500 0.000 F
0.500 0.500 0.500 Ti
0.500 0.000 0.000 Ba
0.000 0.000 0.500 Ba

[13]
Ba2ZnPbF, relaxed, DFT PBE-GGA; energy relative to the elements, uncorrected = -0.692 eV/atom; symmetry = P4/mmm, No. 123
1.0
-4.378 4.695 -0.115
-0.867 -0.927 -4.859
-4.564 -4.216 1.619
Zn Ba F Pb
1 2 1 1
direct
0.000 0.000 0.000 Zn
0.500 0.000 0.000 Ba
0.000 0.000 0.500 Ba
0.500 0.500 0.500 F
0.000 0.500 0.000 Pb

[14]
BaZn2PbF8, relaxed, DFT PBE-GGA; energy relative to the elements, uncorrected = -2.724 eV/atom; symmetry = I-4, No. 82
1.0
5.673 0.000 0.000
0.000 5.673 0.000
-2.837 -2.837 6.179
Zn F Ba Pb
2 8 1 1
direct
0.250 0.750 0.500 Zn
0.500 0.500 0.000 Zn
0.673 0.260 0.843 F
0.588 0.690 0.667 F
0.079 0.977 0.667 F
0.171 0.583 0.843 F
0.310 0.921 0.333 F
0.023 0.412 0.333 F
0.417 0.327 0.157 F
0.740 0.829 0.157 F
0.750 0.250 0.500 Ba
0.000 0.000 0.000 Pb

[15]
Ba2Zn3PbF12, relaxed, DFT PBE-GGA; energy relative to the elements, uncorrected = -2.798 eV/atom; symmetry = R-3m, No. 166
1.0
-0.587 -3.989 -5.983
-0.411 -7.164 0.754
-6.344 -3.169 -1.328
F Zn Ba Pb
12 3 2 1
direct
0.857 0.857 0.434 F
0.434 0.857 0.857 F
0.143 0.566 0.143 F
0.566 0.143 0.143 F
0.857 0.434 0.857 F
0.863 0.277 0.277 F
0.137 0.723 0.723 F
0.723 0.723 0.137 F
0.277 0.277 0.863 F
0.277 0.863 0.277 F
0.143 0.143 0.566 F
0.723 0.137 0.723 F
0.000 0.000 0.500 Zn
0.000 0.500 0.000 Zn
0.500 0.000 0.000 Zn
0.613 0.613 0.613 Ba
0.387 0.387 0.387 Ba
0.000 0.000 0.000 Pb

[16]
BaZnPbF6, relaxed, DFT PBE-GGA; energy relative to the elements, uncorrected = -2.816 eV/atom; symmetry = P312, No. 149
1.0
-3.771 -4.596 0.748
-1.545 -3.406 -4.682
4.272 -3.339 1.021
F Pb Zn Ba
6 1 1 1
direct
0.621 0.333 0.715 F
0.333 0.621 0.285 F
0.046 0.332 0.285 F
0.046 0.622 0.714 F
0.332 0.046 0.715 F
0.622 0.046 0.286 F
0.667 0.667 0.500 Pb
0.333 0.333 0.500 Zn
0.000 0.000 0.000 Ba

[17]
Ba2ZnPbF8, relaxed, DFT PBE-GGA; energy relative to the elements, uncorrected = -3.035 eV/atom; symmetry = P2/m, No. 10
1.0
4.423 -0.299 -0.002
-0.289 5.873 -0.008
0.005 0.007 8.264
F Zn Ba Pb
8 1 2 1
direct
0.501 0.756 0.500 F
0.949 0.228 0.772 F
0.622 0.797 0.000 F
0.949 0.228 0.228 F
0.051 0.772 0.772 F
0.499 0.244 0.500 F
0.051 0.772 0.228 F
0.378 0.203 0.000 F
0.000 0.000 0.000 Zn
0.500 0.500 0.238 Ba
0.500 0.500 0.762 Ba
0.000 0.000 0.500 Pb

[18]
Ba2PdF8, relaxed, DFT PBE-GGA; energy relative to the elements, uncorrected = -2.570 eV/atom; symmetry = C2/m, No. 12
1.0
4.345 0.000 0.000
0.000 5.278 -0.135
-2.172 -2.415 7.642
F Pd Ba
8 1 2
direct
0.999 0.222 0.997 F
0.767 0.764 0.533 F
0.405 0.653 0.811 F
0.233 0.236 0.467 F
0.397 0.124 0.794 F
0.001 0.778 0.003 F
0.595 0.347 0.189 F
0.603 0.876 0.206 F
0.500 0.000 0.000 Pd
0.164 0.665 0.327 Ba
0.836 0.335 0.673 Ba

[19]
BaPd2F2, relaxed, DFT PBE-GGA; energy relative to the elements, uncorrected = -1.508 eV/atom; symmetry = I4/mmm, No. 139; distance to the lowest polymorph of the same formula = 0.000 eV per formula unit
1.0
-0.971 -3.345 0.819
2.107 -1.250 -2.608
6.992 -2.829 4.551
Pd F Ba
2 2 1
direct
0.750 0.250 0.500 Pd
0.250 0.750 0.500 Pd
0.427 0.427 0.146 F
0.573 0.573 0.854 F
0.000 0.000 0.000 Ba

[20]
BaPdF3, relaxed, DFT PBE-GGA; energy relative to the elements, uncorrected = -2.205 eV/atom; symmetry = Pm-3m, No. 221; distance to the lowest polymorph of the same formula = 0.000 eV per formula unit
1.0
4.486 0.000 0.000
0.000 4.486 0.000
0.000 0.000 4.486
F Pd Ba
3 1 1
direct
0.000 0.000 0.500 F
0.500 0.000 0.000 F
0.000 0.500 0.000 F
0.000 0.000 0.000 Pd
0.500 0.500 0.500 Ba

[21]
BaPd2F7, relaxed, DFT PBE-GGA; energy relative to the elements, uncorrected = -1.919 eV/atom; symmetry = Cmmm, No. 65
1.0
4.076 0.000 0.000
0.000 6.784 -0.340
0.000 -3.298 5.939
F Pd Ba
7 2 1
direct
0.000 0.315 0.685 F
0.000 0.685 0.315 F
0.500 0.674 0.950 F
0.500 0.326 0.050 F
0.500 0.050 0.326 F
0.500 0.500 0.500 F
0.500 0.950 0.674 F
0.500 0.330 0.670 Pd
0.500 0.670 0.330 Pd
0.000 0.000 0.000 Ba

[22]
BaPdF3, relaxed, DFT PBE-GGA; energy relative to the elements, uncorrected = -1.876 eV/atom; symmetry = Pm-3m, No. 221; distance to the lowest polymorph of the same formula = 1.642 eV per formula unit
1.0
5.064 0.000 0.000
0.000 5.064 0.000
0.000 0.000 5.064
F Pd Ba
3 1 1
direct
0.000 0.500 0.000 F
0.000 0.000 0.500 F
0.500 0.000 0.000 F
0.500 0.500 0.500 Pd
0.000 0.000 0.000 Ba

[23]
Ba2PdF6, relaxed, DFT PBE-GGA; energy relative to the elements, uncorrected = -3.007 eV/atom; symmetry = Cmce, No. 64; distance to the lowest polymorph of the same formula = 0.000 eV per formula unit
1.0
9.213 0.001 0.000
-7.061 5.917 0.000
0.000 0.000 6.291
F Ba Pd
12 4 2
direct
0.740 0.574 0.158 F
0.760 0.926 0.658 F
0.240 0.074 0.342 F
0.426 0.260 0.842 F
0.507 0.007 0.250 F
0.074 0.240 0.342 F
0.926 0.760 0.658 F
0.993 0.493 0.750 F
0.574 0.740 0.158 F
0.007 0.507 0.250 F
0.260 0.426 0.842 F
0.493 0.993 0.750 F
0.839 0.161 0.000 Ba
0.161 0.839 0.000 Ba
0.661 0.339 0.500 Ba
0.339 0.661 0.500 Ba
0.500 0.500 0.000 Pd
0.000 0.000 0.500 Pd

no.,total moment (μB per formula unit)
1,0.0
2,0.0
3,0.0
4,0.0
5,0.5
6,0.0
7,0.0
8,0.0
9,0.0
10,0.0
11,0.0
12,0.0
13,0.0
14,0.0
15,0.0
16,0.0
17,0.0
18,1.3
19,0.5
20,0.0
21,0.2
22,1.0
23,0.1